1.
This record from the Alexandria database describes La2TmAgSe5 after structural relaxation. The functional is PBE-GGA.

The space group is Cmc2_1 (No. 36) and the conventional cell measures 4.1927, 17.6360 and 12.5712 Å, with angles of 90.00, 90.00 and 90.00 degrees. The distinct sites, in fractional coordinates, are La at (0.0000, 0.1104, 0.0000), La at (0.0000, 0.1253, 0.6217), Tm at (0.0000, 0.1957, 0.3240), Ag at (0.0000, 0.4431, 0.7712), Se at (0.0000, 0.0471, 0.3901), Se at (0.0000, 0.2870, 0.9787), Se at (0.0000, 0.3046, 0.6643), Se at (0.0000, 0.3570, 0.3152) and Se at (0.0000, 0.4972, 0.0847).

The value obtained for the formation energy (no corrections) is -159.1 kJ per mole of atoms.

=====

2.
This record from the Alexandria database describes KTlAg2Cl6 after structural relaxation. The functional is PBE-GGA.

The space group is P1 (No. 1) and the conventional cell measures 7.0595, 7.0690 and 7.6137 Å, with angles of 90.05, 117.54 and 119.89 degrees. The distinct sites, in fractional coordinates, are K at (0.0000, 0.0000, 0.0000), Tl at (0.9644, 0.4824, 0.4458), Ag at (0.5729, 0.2864, 0.8591), Ag at (0.6046, 0.8032, 0.4073), Cl at (0.0995, 0.4492, 0.1795), Cl at (0.1050, 0.2292, 0.6557), Cl at (0.4274, 0.8758, 0.6552), Cl at (0.5304, 0.0822, 0.1795), Cl at (0.7314, 0.6510, 0.1802) and Cl at (0.7809, 0.5518, 0.6566).

The value obtained for the formation energy (no corrections) is -81.0 kJ per mole of atoms.

=====

3.
This record from the Alexandria database describes BaMnCr after structural relaxation. The functional is PBE-GGA.

The space group is P-6m2 (No. 187) and the conventional cell measures 4.2851, 4.2851 and 5.4503 Å, with angles of 90.00, 90.00 and 120.00 degrees. The distinct sites, in fractional coordinates, are Ba at (0.0000, 0.0000, 0.0000), Mn at (0.3333, 0.6667, 0.5000) and Cr at (0.6667, 0.3333, 0.5000).

Its formation enthalpy at 0 K is 0.667 eV/atom.

=====

4.
This record from the Alexandria database describes Zr3ZnFe8 after structural relaxation. The functional is PBE-GGA.

The space group is R3m (No. 160, hexagonal axes) and the conventional cell measures 4.9097, 4.9097 and 24.0428 Å, with angles of 90.00, 90.00 and 120.00 degrees. The distinct sites, in fractional coordinates, are Zr at (0.0000, 0.0000, 0.0000), Zr at (0.0000, 0.0000, 0.1278), Zr at (0.0000, 0.0000, 0.5087), Zn at (0.0000, 0.0000, 0.6305), Fe at (0.0000, 0.0000, 0.3158), Fe at (0.0000, 0.0000, 0.8163), Fe at (0.1673, 0.3346, 0.3986) and Fe at (0.1676, 0.3352, 0.9002).

Its formation enthalpy at 0 K is -0.229 eV/atom.

=====

5.
This record from the Alexandria database describes Gd2MgRe after structural relaxation. The functional is PBE-GGA.

The space group is Fm-3m (No. 225) and the conventional cell measures 7.1466, 7.1466 and 7.1466 Å, with angles of 90.00, 90.00 and 90.00 degrees. The distinct sites, in fractional coordinates, are Gd at (0.2500, 0.2500, 0.2500), Mg at (0.0000, 0.0000, 0.0000) and Re at (0.0000, 0.0000, 0.5000).

Its formation enthalpy at 0 K is 0.124 eV/atom.

=====

6.
This record from the Alexandria database describes MgAlTl2 after structural relaxation. The functional is PBE-GGA.

The space group is P4/mmm (No. 123) and the conventional cell measures 3.6483, 3.6483 and 7.4615 Å, with angles of 90.00, 90.00 and 90.00 degrees. The distinct sites, in fractional coordinates, are Mg at (0.0000, 0.0000, 0.0000), Al at (0.0000, 0.0000, 0.5000) and Tl at (0.5000, 0.5000, 0.2535).

Its formation enthalpy at 0 K is 0.142 eV/atom.

=====

7.
This record from the Alexandria database describes MnGa2Tc2 after structural relaxation. The functional is PBE-GGA.

The space group is P4/mbm (No. 127) and the conventional cell measures 6.6771, 6.6771 and 3.3106 Å, with angles of 90.00, 90.00 and 90.00 degrees. The distinct sites, in fractional coordinates, are Mn at (0.0000, 0.0000, 0.0000), Ga at (0.1336, 0.3664, 0.0000) and Tc at (0.1674, 0.6674, 0.5000).

Its formation enthalpy at 0 K is 0.034 eV/atom.

=====

8.
This record from the Alexandria database describes Hg4AuSI2 after structural relaxation. The functional is PBE-GGA.

The space group is C2/c (No. 15) and the conventional cell measures 11.7798, 13.1676 and 8.2891 Å, with angles of 90.00, 134.68 and 90.00 degrees. The distinct sites, in fractional coordinates, are Hg at (0.0000, 0.2195, 0.0264), Hg at (0.2200, 0.0285, 0.4700), Au at (0.2500, 0.2500, 0.5000), S at (0.0000, 0.0000, 0.0000), I at (0.0000, 0.5000, 0.0000) and I at (0.2500, 0.2500, 0.0000).

The value obtained for the formation energy (no corrections) is 0.3 kJ per mole of atoms.

=====

9.
This record from the Alexandria database describes TmHfTl2 after structural relaxation. The functional is PBE-GGA.

The space group is P4/mmm (No. 123) and the conventional cell measures 3.7865, 3.7865 and 6.8141 Å, with angles of 90.00, 90.00 and 90.00 degrees. The distinct sites, in fractional coordinates, are Tm at (0.0000, 0.0000, 0.0000), Hf at (0.0000, 0.0000, 0.5000) and Tl at (0.5000, 0.5000, 0.2610).

Its formation enthalpy at 0 K is 0.005 eV/atom.

=====

10.
This record from the Alexandria database describes Ba2Li2AcPb2 after structural relaxation. The functional is PBE-GGA.

The space group is R-3m (No. 166, hexagonal axes) and the conventional cell measures 5.0499, 5.0499 and 36.5109 Å, with angles of 90.00, 90.00 and 120.00 degrees. The distinct sites, in fractional coordinates, are Ba at (0.0000, 0.0000, 0.1159), Li at (0.0000, 0.0000, 0.3847), Ac at (0.0000, 0.0000, 0.0000) and Pb at (0.0000, 0.0000, 0.2771).

Its formation enthalpy at 0 K is -0.428 eV/atom.

=====

11.
This record from the Alexandria database describes Sr2GaGe3 after structural relaxation. The functional is PBE-GGA.

The space group is Cm (No. 8) and the conventional cell measures 12.0464, 4.3301 and 7.8119 Å, with angles of 90.00, 130.34 and 90.00 degrees. The distinct sites, in fractional coordinates, are Sr at (0.0000, 0.0000, 0.0000), Sr at (0.0096, 0.5000, 0.5114), Ga at (0.2447, 0.5000, 0.4094), Ge at (0.2504, 0.0000, 0.9201), Ge at (0.2604, 0.0000, 0.5901) and Ge at (0.2615, 0.5000, 0.1062).

Its formation enthalpy at 0 K is -0.468 eV/atom.

=====

12.
This record from the Alexandria database describes ZnBO2F after structural relaxation. The functional is PBE-GGA.

The space group is P4/mmm (No. 123) and the conventional cell measures 3.4083, 3.4083 and 3.3737 Å, with angles of 90.00, 90.00 and 90.00 degrees. The distinct sites, in fractional coordinates, are Zn at (0.0000, 0.0000, 0.0000), B at (0.5000, 0.5000, 0.5000), O at (0.0000, 0.5000, 0.5000) and F at (0.5000, 0.5000, 0.0000).

The value obtained for the formation energy (no corrections) is -94.3 kJ per mole of atoms.

=====

13.
This record from the Alexandria database describes Ce3PmSm2Bi6 after structural relaxation. The functional is PBE-GGA.

The space group is C2/m (No. 12) and the conventional cell measures 7.9403, 13.7520 and 7.9388 Å, with angles of 90.00, 109.48 and 90.00 degrees. The distinct sites, in fractional coordinates, are Ce at (0.0000, 0.0000, 0.0000), Ce at (0.0000, 0.3336, 0.0000), Pm at (0.0000, 0.5000, 0.5000), Sm at (0.0000, 0.1668, 0.5000), Bi at (0.2489, 0.0000, 0.7491) and Bi at (0.2498, 0.1670, 0.2505).

Its formation enthalpy at 0 K is -0.865 eV/atom.

=====

14.
This record from the Alexandria database describes BeBr2Cl after structural relaxation. The functional is PBE-GGA.

The space group is P4mm (No. 99) and the conventional cell measures 3.0756, 3.0756 and 10.7910 Å, with angles of 90.00, 90.00 and 90.00 degrees. The distinct sites, in fractional coordinates, are Be at (0.0000, 0.0000, 0.0000), Br at (0.0000, 0.0000, 0.5050), Br at (0.5000, 0.5000, 0.1476) and Cl at (0.5000, 0.5000, 0.8715).

The value obtained for the formation energy (no corrections) is 1.6 kJ per mole of atoms.

=====

15.
This record from the Alexandria database describes LiMg after structural relaxation. The functional is PBE-GGA.

The space group is Cm (No. 8) and the conventional cell measures 10.8933, 3.3543 and 7.1649 Å, with angles of 90.00, 109.61 and 90.00 degrees. The distinct sites, in fractional coordinates, are Li at (0.0000, 0.0000, 0.0000), Li at (0.0129, 0.0000, 0.4990), Li at (0.3511, 0.0000, 0.1750), Mg at (0.1724, 0.5000, 0.8488), Mg at (0.1727, 0.5000, 0.3148) and Mg at (0.3454, 0.0000, 0.6652).

Its formation enthalpy at 0 K is -0.056 eV/atom.

=====

16.
This record from the Alexandria database describes AcLa2Hg after structural relaxation. The functional is PBE-GGA.

The space group is Fm-3m (No. 225) and the conventional cell measures 8.1698, 8.1698 and 8.1698 Å, with angles of 90.00, 90.00 and 90.00 degrees. The distinct sites, in fractional coordinates, are Ac at (0.0000, 0.0000, 0.0000), La at (0.2500, 0.2500, 0.2500) and Hg at (0.0000, 0.0000, 0.5000).

Its formation enthalpy at 0 K is -0.051 eV/atom.

=====

17.
This record from the Alexandria database describes PrTcGe2Rh after structural relaxation. The functional is PBE-GGA.

The space group is I-4m2 (No. 119) and the conventional cell measures 4.3214, 4.3214 and 10.1757 Å, with angles of 90.00, 90.00 and 90.00 degrees. The distinct sites, in fractional coordinates, are Pr at (0.0000, 0.0000, 0.0000), Tc at (0.0000, 0.5000, 0.2500), Ge at (0.0000, 0.0000, 0.3682) and Rh at (0.0000, 0.5000, 0.7500).

Its formation enthalpy at 0 K is -0.684 eV/atom.

=====

18.
This record from the Alexandria database describes AgOsS2Cl after structural relaxation. The functional is PBE-GGA.

The space group is P4/mmm (No. 123) and the conventional cell measures 4.5167, 4.5167 and 5.2955 Å, with angles of 90.00, 90.00 and 90.00 degrees. The distinct sites, in fractional coordinates, are Ag at (0.0000, 0.0000, 0.0000), Os at (0.5000, 0.5000, 0.5000), S at (0.0000, 0.5000, 0.5000) and Cl at (0.5000, 0.5000, 0.0000).

The value obtained for the formation energy (no corrections) is 37.9 kJ per mole of atoms.

=====

19.
This record from the Alexandria database describes Sm5Te4Pt after structural relaxation. The functional is PBE-GGA.

The space group is I4/m (No. 87) and the conventional cell measures 9.8435, 9.8435 and 6.2664 Å, with angles of 90.00, 90.00 and 90.00 degrees. The distinct sites, in fractional coordinates, are Sm at (0.0000, 0.0000, 0.0000), Sm at (0.0965, 0.7279, 0.5000), Te at (0.0886, 0.6923, 0.0000) and Pt at (0.0000, 0.0000, 0.5000).

The value obtained for the formation energy (no corrections) is -129.9 kJ per mole of atoms.

=====

20.
This record from the Alexandria database describes AlHPd2Pt after structural relaxation. The functional is PBE-GGA.

The space group is P4/mmm (No. 123) and the conventional cell measures 3.8527, 3.8527 and 4.2098 Å, with angles of 90.00, 90.00 and 90.00 degrees. The distinct sites, in fractional coordinates, are Al at (0.0000, 0.0000, 0.0000), H at (0.0000, 0.0000, 0.5000), Pd at (0.0000, 0.5000, 0.5000) and Pt at (0.5000, 0.5000, 0.0000).

Its total energy is -5.109 eV per atom.